RbBi3Te PBE-GGA optimized geometry; SG = Pm-3m, No. 221; DFT total energy = -14.33 eV/cell; offset from the most stable computed form = 0 meV per atom; energy relative to the elements, uncorrected = 1.422 eV per formula unit
1.0
6.049 0.000 0.000
0.000 6.049 0.000
0.000 0.000 6.049
Rb Bi Te
1 3 1
Cartesian
0.000 0.000 0.000
0.000 3.025 3.025
3.025 0.000 3.025
3.025 3.025 0.000
3.025 3.025 3.025

=====

DyAsHRu PBE-GGA optimized geometry; SG = P4/nmm, No. 129; DFT total energy = -50.02 eV/cell
1.0
4.107 0.000 0.000
0.000 4.107 0.000
0.000 0.000 7.168
Dy As H Ru
2 2 2 2
Cartesian
1.027 1.027 1.158
3.080 3.080 6.010
1.027 1.027 4.930
3.080 3.080 2.238
1.027 3.080 0.000
3.080 1.027 0.000
1.027 3.080 3.584
3.080 1.027 3.584

=====

LiSiB PBE-GGA optimized geometry; SG = Cmme, No. 67; DFT total energy = -51.77 eV/cell; energy relative to the elements, uncorrected = 1.072 eV per formula unit
1.0
6.543 0.000 0.000
0.000 8.329 0.000
0.000 0.000 2.709
Li Si B
4 4 4
Cartesian
1.636 0.000 0.000
1.636 4.165 0.000
4.907 0.000 0.000
4.907 4.165 0.000
0.000 2.082 0.004
0.000 6.247 2.705
3.271 2.082 2.705
3.271 6.247 0.004
1.636 2.082 1.355
1.636 6.247 1.355
4.907 2.082 1.355
4.907 6.247 1.355

=====

Pm2DyY3S6 PBE-GGA optimized geometry; SG = C2/m, No. 12; DFT total energy = -82.37 eV/cell; energy relative to the elements, uncorrected = -24.108 eV per formula unit
1.0
8.613 -1.970 0.000
8.613 1.970 0.000
-1.859 0.000 7.731
Pm Dy Y S
2 1 3 6
Cartesian
2.263 0.000 2.590
13.105 0.000 5.141
8.613 0.000 0.000
1.354 0.000 6.439
7.684 0.000 3.866
14.013 0.000 1.292
-1.350 0.000 5.819
4.044 0.000 7.151
5.029 0.000 3.174
10.338 0.000 4.558
11.324 0.000 0.581
16.718 0.000 1.912

=====

Number 1: N(E_F) 1.6835 states/eV per atom. Number 2: N(E_F) 0.5979 states/eV per atom. Number 3: N(E_F) 0.3251 states/eV per atom. Number 4: N(E_F) 0.4399 states/eV per atom.